# Y5Al4 (PBEsol, optimized geometry)
# Excess energy over the best structure of this formula in the dataset = 1.79 eV/f.u.
# Calculated formation energy = -0.149 eV/atom
# Total moment = 0.000 μB/atom
data_Y5Al4
_cell_length_a 9.545
_cell_length_b 9.545
_cell_length_c 4.555
_cell_angle_alpha 90.00
_cell_angle_beta 90.00
_cell_angle_gamma 90.00
_space_group_name_H-M_alt 'I 4/m m m'
_space_group_IT_number 139
_space_group_name_Hall '-I 4 2'
loop_
_atom_site_label
_atom_site_fract_x
_atom_site_fract_y
_atom_site_fract_z
Y1 0.000 0.000 0.000
Y2 0.173 0.173 0.500
Al1 0.000 0.347 0.000


# Y17Al12 (PBEsol, optimized geometry)
# Calculated formation energy = -0.315 eV/atom
# Total moment = 0.000 μB/atom
data_Y17Al12
_cell_length_a 11.088
_cell_length_b 11.088
_cell_length_c 11.088
_cell_angle_alpha 90.00
_cell_angle_beta 90.00
_cell_angle_gamma 90.00
_space_group_name_H-M_alt 'I -4 3 m'
_space_group_IT_number 217
_space_group_name_Hall 'I -4 2 3'
loop_
_atom_site_label
_atom_site_fract_x
_atom_site_fract_y
_atom_site_fract_z
Y1 0.000 0.000 0.000
Y2 0.049 0.357 0.357
Y3 0.169 0.169 0.831
Al1 0.087 0.087 0.273


# Y5Al (PBEsol, optimized geometry)
# Calculated formation energy = -0.118 eV/atom
# Total moment = 0.000 μB/atom
data_Y5Al
_cell_length_a 12.107
_cell_length_b 3.657
_cell_length_c 8.382
_cell_angle_alpha 90.00
_cell_angle_beta 112.67
_cell_angle_gamma 90.00
_space_group_name_H-M_alt 'C 1 2/m 1'
_space_group_IT_number 12
loop_
_space_group_symop_operation_xyz
'x,y,z'
'-x,-y,-z'
'-x,y,-z'
'x,-y,z'
'x+1/2,y+1/2,z'
'-x+1/2,-y+1/2,-z'
'-x+1/2,y+1/2,-z'
'x+1/2,-y+1/2,z'
loop_
_atom_site_label
_atom_site_fract_x
_atom_site_fract_y
_atom_site_fract_z
Y1 0.000 0.000 0.000
Y2 0.142 0.500 0.360
Y3 0.166 0.500 0.797
Al1 0.000 0.000 0.500


# Y3Al (PBEsol, optimized geometry)
# Calculated formation energy = -0.200 eV/atom
# Total moment = 0.000 μB/atom
data_Y3Al
_cell_length_a 3.478
_cell_length_b 3.478
_cell_length_c 8.912
_cell_angle_alpha 90.00
_cell_angle_beta 90.00
_cell_angle_gamma 90.00
_space_group_name_H-M_alt 'P 4/m m m'
_space_group_IT_number 123
_space_group_name_Hall '-P 4 2'
loop_
_atom_site_label
_atom_site_fract_x
_atom_site_fract_y
_atom_site_fract_z
Y1 0.000 0.000 0.000
Y2 0.500 0.500 0.287
Al1 0.000 0.000 0.500